Compound: KCoP3O9
Source: OQMD
Functional: PBE with a Hubbard U
Structure: relaxed

Output
The symmetry is P1. The value obtained for the total DFT energy (no corrections) is -6.641 eV/atom. As for the crystal system: triclinic. The polymorph energy (0 for the lowest one) comes out at 0.211 eV/atom. The value obtained for the volume is 372.3 Å³ per cell.

a = 6.769 Å, b = 7.174 Å, c = 9.346 Å
α = 69.89°, β = 71.23°, γ = 63.01°
Sites, in units of the cell vectors:
K  0.000  0.000  0.000
K  0.020  0.009  0.349
Co  0.453  0.053  0.442
Co  0.944  0.556  0.955
P  0.188  0.332  0.688
P  0.195  0.467  0.228
P  0.303  0.680  0.670
P  0.542  0.854  0.156
P  0.552  0.429  0.218
P  0.745  0.645  0.663
O  0.058  0.683  0.263
O  0.134  0.316  0.860
O  0.134  0.717  0.818
O  0.148  0.421  0.096
O  0.195  0.272  0.370
O  0.287  0.515  0.599
O  0.289  0.870  0.535
O  0.331  0.961  0.093
O  0.345  0.125  0.643
O  0.539  0.623  0.274
O  0.550  0.554  0.709
O  0.576  0.971  0.250
O  0.606  0.243  0.363
O  0.720  0.822  0.519
O  0.742  0.400  0.072
O  0.760  0.697  0.800
O  0.764  0.798  0.035
O  0.957  0.429  0.626